Material: Th2CuGe4Pt3
Method: DFT, PBE
State: optimized geometry

Cell lengths 4.3124, 4.3124, 10.2892 Å; angles 90.00, 90.00, 90.00 degrees
Closest atoms and distances in Å follow each position.
Sites, in units of the cell vectors:
Th 0.0000 0.5000 0.2425  8 Ge 3.27-3.42, 2 Cu 3.30, 6 Pt 3.30-3.32
Th 0.5000 0.0000 0.7575  8 Ge 3.27-3.42, 2 Cu 3.30, 6 Pt 3.30-3.32
Cu 0.5000 0.5000 0.0000  4 Ge 2.53
Ge 0.0000 0.0000 0.5000  4 Pt 2.54
Ge 0.0000 0.5000 0.8714  3 Pt 2.48-2.53, 2 Cu 2.53
Ge 0.5000 0.0000 0.1286  3 Pt 2.48-2.53, 2 Cu 2.53
Ge 0.5000 0.5000 0.5000  4 Pt 2.54
Pt 0.0000 0.0000 0.0000  4 Ge 2.53
Pt 0.0000 0.5000 0.6306  5 Ge 2.48-2.54
Pt 0.5000 0.0000 0.3694  5 Ge 2.48-2.54

Computed properties:
SG: P-4m2
DOS(E_F): 0.4234 states/eV/atom
V: 19.13 Å³/atom
size of the total moment: 0.00 μB/atom
energy: -63.951 eV/cell
E_form: -0.84 eV per atom

---

Material: Nd8TlSe6
Method: DFT, PBE
State: optimized geometry

Cell lengths 10.9636, 10.9636, 4.2354 Å; angles 90.00, 90.00, 120.00 degrees
Closest atoms and distances in Å follow each position.
Sites, in units of the cell vectors:
Nd 0.0359 0.7065 0.2511  4 Se 2.89-3.11
Nd 0.2935 0.3294 0.2511  4 Se 2.89-3.11
Nd 0.3294 0.0359 0.7489  4 Se 2.89-3.11
Nd 0.3333 0.6667 0.7496  6 Se 2.98-2.99
Nd 0.6667 0.3333 0.2504  6 Se 2.98-2.99
Nd 0.6706 0.9641 0.2511  4 Se 2.89-3.11
Nd 0.7065 0.6706 0.7489  4 Se 2.89-3.11
Nd 0.9641 0.2935 0.7489  4 Se 2.89-3.11
Tl 0.0000 0.0000 0.5000  6 Nd 3.59
Se 0.1330 0.4838 0.2507  6 Nd 2.89-3.11
Se 0.3509 0.8670 0.2507  6 Nd 2.89-3.11
Se 0.4838 0.3509 0.7493  6 Nd 2.89-3.11
Se 0.5162 0.6491 0.2507  6 Nd 2.89-3.11
Se 0.6491 0.1330 0.7493  6 Nd 2.89-3.11
Se 0.8670 0.5162 0.7493  6 Nd 2.89-3.11

Computed properties:
SG: P-3
DOS(E_F): 0.8727 states/eV/atom
energy relative to the elements, uncorrected: -1370 meV/atom
V: 29.39 Å³/atom
size of the total moment: 0.00 μB/atom
energy: -81.971 eV/cell

---

Material: Rb3LaSi
Method: DFT, PBE
State: optimized geometry

Cell lengths 6.5690, 6.5690, 6.5690 Å; angles 90.00, 90.00, 90.00 degrees
Closest atoms and distances in Å follow each position.
Sites, in units of the cell vectors:
Rb 0.0000 0.0000 0.5000  2 La 3.28
Rb 0.0000 0.5000 0.0000  2 La 3.28
Rb 0.5000 0.0000 0.0000  2 La 3.28
La 0.0000 0.0000 0.0000  6 Rb 3.28
Si 0.5000 0.5000 0.5000  12 Rb 4.64

Computed properties:
SG: Pm-3m
DOS(E_F): 1.7907 states/eV/atom
energy relative to the elements, uncorrected: 1481 meV/atom
V: 56.69 Å³/atom
size of the total moment: 0.00 μB/atom
energy: -5.846 eV/cell

---

Material: SrIn3Hg3
Method: DFT, PBE
State: optimized geometry

Cell lengths 8.1646, 8.1646, 8.1646 Å; angles 63.94, 63.94, 63.94 degrees
Closest atoms and distances in Å follow each position.
Sites, in units of the cell vectors:
Sr 0.1645 0.1645 0.1645  6 Hg 3.32-3.33, 3 In 3.70
Sr 0.8355 0.8355 0.8355  6 Hg 3.32-3.33, 3 In 3.70
In 0.0207 0.3772 0.7252  3 Hg 3.02-3.13, 2 In 3.24
In 0.2748 0.9793 0.6228  3 Hg 3.02-3.13, 2 In 3.24
In 0.3772 0.7252 0.0207  3 Hg 3.02-3.13, 2 In 3.24
In 0.6228 0.2748 0.9793  3 Hg 3.02-3.13, 2 In 3.24
In 0.7252 0.0207 0.3772  3 Hg 3.02-3.13, 2 In 3.24
In 0.9793 0.6228 0.2748  3 Hg 3.02-3.13, 2 In 3.24
Hg 0.1696 0.7224 0.4483  3 In 3.02-3.13, 2 Hg 3.16, 2 Sr 3.32-3.33
Hg 0.2776 0.5517 0.8304  3 In 3.02-3.13, 2 Hg 3.16, 2 Sr 3.32-3.33
Hg 0.4483 0.1696 0.7224  3 In 3.02-3.13, 2 Hg 3.16, 2 Sr 3.32-3.33
Hg 0.5517 0.8304 0.2776  3 In 3.02-3.13, 2 Hg 3.16, 2 Sr 3.32-3.33
Hg 0.7224 0.4483 0.1696  3 In 3.02-3.13, 2 Hg 3.16, 2 Sr 3.32-3.33
Hg 0.8304 0.2776 0.5517  3 In 3.02-3.13, 2 Hg 3.16, 2 Sr 3.32-3.33

Computed properties:
SG: R-3
DOS(E_F): 0.3932 states/eV/atom
energy relative to the lowest polymorph listed for this composition: 6.93 kJ per mole of atoms
V: 29.87 Å³/atom
size of the total moment: 0.00 μB/atom
energy: -23.755 eV/cell
E_form: -0.15 eV per atom

---

Material: Nb5Ir4Rh2
Method: DFT, PBE
State: optimized geometry

Cell lengths 6.3950, 15.1991, 3.7396 Å; angles 90.00, 90.00, 90.00 degrees
Closest atoms and distances in Å follow each position.
Sites, in units of the cell vectors:
Nb 0.0000 0.0000 0.0000  2 Nb 2.78, 8 Ir 2.78-2.79
Nb 0.1181 0.4133 0.0000  2 Rh 2.68, 6 Ir 2.71-2.81, 1 Nb 2.78
Nb 0.2057 0.1930 0.0000  4 Rh 2.71-2.73, 4 Ir 2.84-2.97
Nb 0.2943 0.6930 0.0000  4 Rh 2.71-2.73, 4 Ir 2.84-2.97
Nb 0.3819 0.9133 0.0000  2 Rh 2.68, 6 Ir 2.71-2.81, 1 Nb 2.78
Nb 0.5000 0.5000 0.0000  2 Nb 2.78, 8 Ir 2.78-2.79
Nb 0.6181 0.0867 0.0000  2 Rh 2.68, 6 Ir 2.71-2.81, 1 Nb 2.78
Nb 0.7057 0.3070 0.0000  4 Rh 2.71-2.73, 4 Ir 2.84-2.97
Nb 0.7943 0.8070 0.0000  4 Rh 2.71-2.73, 4 Ir 2.84-2.97
Nb 0.8819 0.5867 0.0000  2 Rh 2.68, 6 Ir 2.71-2.81, 1 Nb 2.78
Ir 0.0920 0.8705 0.5000  2 Rh 2.61-2.78, 6 Nb 2.71-2.84, 1 Ir 2.82
Ir 0.1972 0.5471 0.5000  1 Rh 2.74, 8 Nb 2.79-2.97, 3 Ir 2.82-3.00
Ir 0.3028 0.0471 0.5000  1 Rh 2.74, 8 Nb 2.79-2.97, 3 Ir 2.82-3.00
Ir 0.4080 0.3705 0.5000  2 Rh 2.61-2.78, 6 Nb 2.71-2.84, 1 Ir 2.82
Ir 0.5920 0.6295 0.5000  2 Rh 2.61-2.78, 6 Nb 2.71-2.84, 1 Ir 2.82
Ir 0.6972 0.9529 0.5000  1 Rh 2.74, 8 Nb 2.79-2.97, 3 Ir 2.82-3.00
Ir 0.8028 0.4529 0.5000  1 Rh 2.74, 8 Nb 2.79-2.97, 3 Ir 2.82-3.00
Ir 0.9080 0.1295 0.5000  2 Rh 2.61-2.78, 6 Nb 2.71-2.84, 1 Ir 2.82
Rh 0.0109 0.2954 0.5000  3 Ir 2.61-2.78, 6 Nb 2.68-2.73
Rh 0.4891 0.7954 0.5000  3 Ir 2.61-2.78, 6 Nb 2.68-2.73
Rh 0.5109 0.2046 0.5000  3 Ir 2.61-2.78, 6 Nb 2.68-2.73
Rh 0.9891 0.7046 0.5000  3 Ir 2.61-2.78, 6 Nb 2.68-2.73

Computed properties:
SG: Pbam
DOS(E_F): 0.9524 states/eV/atom
V: 16.52 Å³/atom
size of the total moment: 0.00 μB/atom
energy: -208.439 eV/cell
E_form: -0.34 eV per atom

---

Material: Cd2Hg3H
Method: DFT, PBE
State: optimized geometry

Cell lengths 6.4292, 6.4292, 8.8274 Å; angles 100.46, 100.46, 50.78 degrees
Closest atoms and distances in Å follow each position.
Sites, in units of the cell vectors:
Cd 0.0210 0.0210 0.2643  6 Hg 2.97-3.27, 2 Cd 3.18
Cd 0.3962 0.3962 0.8574  5 Hg 3.06-3.18, 3 Cd 3.12-3.18, 1 H 3.38
Cd 0.6038 0.6038 0.1426  5 Hg 3.06-3.18, 3 Cd 3.12-3.18, 1 H 3.38
Cd 0.9790 0.9790 0.7357  6 Hg 2.97-3.27, 2 Cd 3.18
Hg 0.1744 0.1744 0.0103  1 H 2.03
Hg 0.2041 0.2041 0.5649  3 Cd 3.05-3.27, 5 Hg 3.23-3.35
Hg 0.4199 0.4199 0.3646  1 H 1.76
Hg 0.5801 0.5801 0.6354  1 H 1.76
Hg 0.7959 0.7959 0.4351  3 Cd 3.05-3.27, 5 Hg 3.23-3.35
Hg 0.8256 0.8256 0.9897  1 H 2.03
H 0.3070 0.3070 0.1988  1 Hg 1.76
H 0.6930 0.6930 0.8012  1 Hg 1.76

Computed properties:
SG: C2/m
DOS(E_F): 0.2723 states/eV/atom
V: 23.08 Å³/atom
size of the total moment: 0.00 μB/atom
energy: -10.288 eV/cell

---

Material: Ac2AsPd3
Method: DFT, PBE
State: optimized geometry

Cell lengths 4.1496, 4.5127, 7.8883 Å; angles 90.00, 90.00, 90.00 degrees
Closest atoms and distances in Å follow each position.
Sites, in units of the cell vectors:
Ac 0.0000 0.0000 0.0000  8 Pd 3.27-3.34, 4 As 3.37
Ac 0.0000 0.5000 0.4951  2 As 3.30, 10 Pd 3.32-3.46
As 0.5000 0.5000 0.8212  3 Pd 2.52-2.55
Pd 0.5000 0.0000 0.3326  3 Pd 2.70-2.74
Pd 0.5000 0.0000 0.6799  2 As 2.52, 1 Pd 2.74
Pd 0.5000 0.5000 0.1439  1 As 2.55, 2 Pd 2.70

Computed properties:
SG: Pmm2
DOS(E_F): 0.7105 states/eV/atom
energy relative to the lowest polymorph listed for this composition: 0.00 kJ per mole of atoms
V: 24.62 Å³/atom
size of the total moment: 0.00 μB/atom
energy: -34.178 eV/cell
E_form: -0.96 eV per atom